The following is a PBE calculation of an optimized crystal structure of Pm6PrDy5, from Alexandria.

Results
Crystal system: monoclinic
Magnetic moment, μB per atom: 0.00
Symmetry: C2/m (12)
D(E_F), states/eV/f.u.: 17.288
DFT formation energy, eV/atom: 0.02

Lattice parameters (Å, degrees): 5.111 10.191 9.544 122.20 105.48 90.08
Positions (direct):
Pm: 0.167 0.418 0.334
Pm: 0.833 0.582 0.666
Pm: 0.500 0.747 0.000
Pm: 0.500 0.253 0.000
Pm: 0.167 0.915 0.334
Pm: 0.833 0.085 0.666
Dy: 0.668 0.168 0.335
Dy: 0.000 0.500 0.000
Dy: 0.332 0.832 0.665
Dy: 0.667 0.667 0.334
Dy: 0.333 0.333 0.666
Pr: 0.000 0.000 0.000